(1)
# CeCl2F (PBE-GGA, relaxed)
data_CeCl2F
_chemical_formula_sum 'Ce4 Cl8 F4'
_symmetry_space_group_name_H-M 'C m c m'
_symmetry_Int_Tables_number 63
_symmetry_space_group_name_Hall '-C 2c 2'
_cell_length_a 3.885
_cell_length_b 13.155
_cell_length_c 8.523
_cell_angle_alpha 90.00
_cell_angle_beta 90.00
_cell_angle_gamma 90.00
loop_
_atom_site_label
_atom_site_fract_x
_atom_site_fract_y
_atom_site_fract_z
Ce1 0.000 0.243 0.250
Cl1 0.000 0.144 0.557
F1 0.000 0.349 0.750
# Raw total energy ... -5.667 eV/atom
# ΔE_f (raw) ... -2.792 eV/atom
# Relative energy among the computed polymorphs ... 0 meV per atom

(2)
# Ce2Cl8F (PBE-GGA, relaxed)
data_Ce2Cl8F
_chemical_formula_sum 'Ce4 Cl16 F2'
_symmetry_space_group_name_H-M 'C 1 2/m 1'
_symmetry_Int_Tables_number 12
_symmetry_space_group_name_Hall '-C 2y'
_cell_length_a 12.241
_cell_length_b 8.407
_cell_length_c 8.171
_cell_angle_alpha 90.00
_cell_angle_beta 125.82
_cell_angle_gamma 90.00
loop_
_atom_site_label
_atom_site_fract_x
_atom_site_fract_y
_atom_site_fract_z
Ce1 0.193 0.000 0.013
Cl1 0.097 0.304 0.908
Cl2 0.129 0.000 0.627
Cl3 0.192 0.500 0.613
F1 0.000 0.000 0.000
# Raw total energy ... -4.469 eV/atom
# ΔE_f (raw) ... -1.877 eV/atom

(3)
# CeClF3 (PBE-GGA, relaxed)
data_CeClF3
_chemical_formula_sum 'Ce4 Cl4 F12'
_symmetry_space_group_name_H-M 'P n m a'
_symmetry_Int_Tables_number 62
_symmetry_space_group_name_Hall '-P 2ac 2n'
_cell_length_a 7.882
_cell_length_b 3.816
_cell_length_c 11.041
_cell_angle_alpha 90.00
_cell_angle_beta 90.00
_cell_angle_gamma 90.00
loop_
_atom_site_label
_atom_site_fract_x
_atom_site_fract_y
_atom_site_fract_z
Ce1 0.116 0.250 0.146
Cl1 0.177 0.250 0.531
F1 0.049 0.250 0.935
F2 0.123 0.750 0.258
F3 0.130 0.750 0.753
# Raw total energy ... -5.920 eV/atom
# ΔE_f (raw) ... -3.241 eV/atom
# Relative energy among the computed polymorphs ... 0 meV per atom

(4)
# Ce2ClF6 (PBE-GGA, relaxed)
data_Ce2ClF6
_chemical_formula_sum 'Ce4 Cl2 F12'
_symmetry_space_group_name_H-M 'I m m m'
_symmetry_Int_Tables_number 71
_symmetry_space_group_name_Hall '-I 2 2'
_cell_length_a 4.137
_cell_length_b 7.379
_cell_length_c 9.361
_cell_angle_alpha 90.00
_cell_angle_beta 90.00
_cell_angle_gamma 90.00
loop_
_atom_site_label
_atom_site_fract_x
_atom_site_fract_y
_atom_site_fract_z
Ce1 0.000 0.000 0.207
Cl1 0.000 0.000 0.500
F1 0.000 0.165 0.000
F2 0.000 0.335 0.284
# Raw total energy ... -6.378 eV/atom
# ΔE_f (raw) ... -3.607 eV/atom